Li3Ga2Ag4 (GGA-PBE, relaxed); N(E_F) = 0.4735 states/eV/atom; uncorrected energy = -25.3 eV/cell; magnetic moment = 0.0 μB per cell; space-group type = C2/m; DFT formation energy = -0.2299 eV per atom
1.0
4.448 0.000 0.000
2.224 3.867 0.509
-0.001 -0.991 8.304
Ag Li Ga
4 3 2
Direct
0.334 0.332 0.106 Ag
0.666 0.668 0.894 Ag
0.000 0.999 0.331 Ag
0.000 0.001 0.669 Ag
0.666 0.667 0.560 Li
0.334 0.333 0.440 Li
0.000 0.000 0.000 Li
0.333 0.335 0.776 Ga
0.667 0.665 0.224 Ga

Li2GaAg2 (GGA-PBE, relaxed); N(E_F) = 0.2340 states/eV/atom; uncorrected energy = -26.7 eV/cell; magnetic moment = 0.0 μB per cell; space-group type = Ibam; DFT formation energy = -0.1549 eV per atom
1.0
-1.984 3.559 2.874
0.421 -3.119 4.153
6.619 2.103 -2.361
Ag Li Ga
4 4 2
Direct
0.190 0.836 0.379 Ag
0.810 0.164 0.621 Ag
0.690 0.543 0.379 Ag
0.310 0.457 0.621 Ag
0.105 0.226 0.211 Li
0.605 0.984 0.211 Li
0.895 0.774 0.789 Li
0.395 0.016 0.789 Li
0.750 0.500 0.000 Ga
0.250 0.500 0.000 Ga

Li5Ga5Ag2 (GGA-PBE, relaxed); N(E_F) = 0.2380 states/eV/atom; uncorrected energy = -33.2 eV/cell; magnetic moment = 0.0 μB per cell; space-group type = C2/m; DFT formation energy = -0.2313 eV per atom
1.0
-4.429 0.871 0.805
-2.679 -3.725 2.353
-0.496 -0.140 10.483
Li Ga Ag
5 5 2
Direct
0.500 0.248 0.751 Li
0.328 0.341 0.004 Li
0.500 0.752 0.249 Li
0.672 0.659 0.996 Li
0.000 0.500 0.500 Li
0.835 0.579 0.751 Ga
0.667 0.167 0.499 Ga
0.000 0.000 0.000 Ga
0.165 0.421 0.249 Ga
0.333 0.833 0.501 Ga
0.168 0.906 0.757 Ag
0.832 0.094 0.243 Ag